Record 1
DFT (PBE) results for crystalline BaCe2Cd2O7 at its relaxed geometry.

Calculated values
Magnetization   0.0 μB per cell
Formation energy from raw total energies   -2442 meV per atom
V   404.3 Å³/cell

Cell lengths 4.3415, 20.2076, 4.6089 Å; angles 90.00, 90.00, 90.00 degrees
Closest atoms and distances in Å follow each position.
Space group Imm2 (No. 44)
Symmetry-distinct sites (fractional):
Ba1 0.0000 0.0000 0.0000 [2 per cell]  10 O 2.91-3.13
Ce1 0.0000 0.3913 0.9715 [4 per cell]  6 O 2.19-2.43
Cd1 0.0000 0.2733 0.4689 [4 per cell]  5 O 2.30-2.35
O1 0.0000 0.0958 0.4728 [4 per cell]  2 Ce 2.19
O2 0.0000 0.2710 0.9685 [4 per cell]  4 Cd 2.30-2.35, 1 Ce 2.43
O3 0.0000 0.3889 0.4689 [4 per cell]  2 Ce 2.29-2.32, 1 Cd 2.34
O4 0.0000 0.5000 0.9211 [2 per cell]  2 Ce 2.21

=====

Record 2
DFT (PBE) results for crystalline Ba3CeCd2O6 at its relaxed geometry.

Calculated values
Magnetization   0.0 μB per cell
Formation energy from raw total energies   -2175 meV per atom
V   245.8 Å³/cell

Cell lengths 6.2981, 6.2981, 7.1565 Å; angles 90.00, 90.00, 120.00 degrees
Closest atoms and distances in Å follow each position.
Space group P-3m1 (No. 164)
Symmetry-distinct sites (fractional):
Ba1 0.0000 0.0000 0.0000 [1 per cell]  6 O 2.88
Ba2 0.3333 0.6667 0.6158 [2 per cell]  3 O 2.83
Ce1 0.0000 0.0000 0.5000 [1 per cell]  6 O 2.23
Cd1 0.3333 0.6667 0.1374 [2 per cell]  3 O 2.24
O1 0.1645 0.3291 0.3146 [6 per cell]  1 Ce 2.23, 1 Cd 2.24

=====

Record 3
DFT (PBE) results for crystalline Ba3CeCd2O8 at its relaxed geometry.

Calculated values
Magnetization   2.0 μB per cell
Formation energy from raw total energies   -1953 meV per atom
V   267.0 Å³/cell

Cell lengths 6.1999, 6.1999, 8.0208 Å; angles 90.00, 90.00, 120.00 degrees
Closest atoms and distances in Å follow each position.
Space group P-3m1 (No. 164)
Symmetry-distinct sites (fractional):
Ba1 0.0000 0.0000 0.0000 [1 per cell]  6 O 3.21
Ba2 0.3333 0.6667 0.6251 [2 per cell]  1 O 2.46
Ce1 0.0000 0.0000 0.5000 [1 per cell]  6 O 2.19
Cd1 0.3333 0.6667 0.1861 [2 per cell]  4 O 2.04-2.19
O1 0.1630 0.3260 0.3353 [6 per cell]  1 Cd 2.19, 1 Ce 2.19
O2 0.3333 0.6667 0.9321 [2 per cell]  1 Cd 2.04

=====

Record 4
DFT (PBE) results for crystalline BaCe2CdP4 at its relaxed geometry.

Calculated values
Energy of formation   -8.15 eV/f.u.
Magnetization   0.0 μB per cell
V   841.9 Å³/cell

Cell lengths 4.2425, 14.0896, 14.0845 Å; angles 90.00, 90.00, 90.00 degrees
Closest atoms and distances in Å follow each position.
Space group Cmcm (No. 63)
Symmetry-distinct sites (fractional):
Ba1 0.0000 0.1164 0.2500 [4 per cell]  6 P 3.18-3.44
Ce1 0.0000 0.3702 0.0571 [8 per cell]  6 P 2.76-2.93
Cd1 0.0000 0.1522 0.7500 [4 per cell]  4 P 2.54-2.55
P1 0.0000 0.0000 0.0000 [4 per cell]  4 Ce 2.91
P2 0.0000 0.2585 0.6042 [8 per cell]  1 Cd 2.54, 1 Ce 2.76
P3 0.0000 0.4480 0.2500 [4 per cell]  2 Cd 2.55

=====

Record 5
DFT (PBE) results for crystalline BaCeCd2Pb2 at its relaxed geometry.

Calculated values
Energy of formation   -2.19 eV/f.u.
Magnetization   1.2 μB per cell
V   194.0 Å³/cell

Cell lengths 5.1101, 5.1101, 8.5805 Å; angles 90.00, 90.00, 120.00 degrees
Closest atoms and distances in Å follow each position.
Space group P-3m1 (No. 164)
Symmetry-distinct sites (fractional):
Ba1 0.0000 0.0000 0.0000 [1 per cell]  6 Pb 3.69, 6 Cd 4.09
Ce1 0.0000 0.0000 0.5000 [1 per cell]  6 Cd 3.29, 6 Pb 3.61
Cd1 0.3333 0.6667 0.6699 [2 per cell]  3 Pb 3.02, 3 Ce 3.29
Pb1 0.3333 0.6667 0.2573 [2 per cell]  3 Cd 3.02

=====

Record 6
DFT (PBE) results for crystalline Ba2CeCdS5 at its relaxed geometry.

Calculated values
Magnetization   0.0 μB per cell
Formation energy from raw total energies   -1684 meV per atom
V   998.7 Å³/cell

Cell lengths 4.2418, 18.1497, 12.9716 Å; angles 90.00, 90.00, 90.00 degrees
Closest atoms and distances in Å follow each position.
Space group Cmc2_1 (No. 36)
Symmetry-distinct sites (fractional):
Ba1 0.0000 0.1086 0.0000 [4 per cell]  6 S 3.16-3.46
Ba2 0.0000 0.1270 0.6269 [4 per cell]  7 S 3.13-3.36
Ce1 0.0000 0.2093 0.3308 [4 per cell]  6 S 2.66-2.80
Cd1 0.0000 0.4520 0.7662 [4 per cell]  3 S 2.47-2.54
S1 0.0000 0.0590 0.3733 [4 per cell]  2 Cd 2.54, 1 Ce 2.78
S2 0.0000 0.2859 0.9677 [4 per cell]  2 Ce 2.77
S3 0.0000 0.3062 0.6918 [4 per cell]  2 Ce 2.80, 1 Cd 2.82
S4 0.0000 0.3554 0.3181 [4 per cell]  1 Ce 2.66
S5 0.0000 0.4970 0.0898 [4 per cell]  1 Cd 2.47

=====

Record 7
DFT (PBE) results for crystalline Ba2CeCdSe5 at its relaxed geometry.

Calculated values
Magnetization   0.0 μB per cell
Formation energy from raw total energies   -1610 meV per atom
V   1119.6 Å³/cell

Cell lengths 4.4021, 18.9440, 13.4258 Å; angles 90.00, 90.00, 90.00 degrees
Closest atoms and distances in Å follow each position.
Space group Cmc2_1 (No. 36)
Symmetry-distinct sites (fractional):
Ba1 0.0000 0.1105 0.0000 [4 per cell]  6 Se 3.29-3.60
Ba2 0.0000 0.1261 0.6292 [4 per cell]  7 Se 3.26-3.49
Ce1 0.0000 0.2076 0.3309 [4 per cell]  6 Se 2.80-2.94
Cd1 0.0000 0.4488 0.7622 [4 per cell]  4 Se 2.59-2.89
Se1 0.0000 0.0572 0.3739 [4 per cell]  2 Cd 2.67, 1 Ce 2.91
Se2 0.0000 0.2877 0.9709 [4 per cell]  2 Ce 2.90
Se3 0.0000 0.3056 0.6875 [4 per cell]  1 Cd 2.89, 2 Ce 2.94
Se4 0.0000 0.3553 0.3185 [4 per cell]  1 Ce 2.80
Se5 0.0000 0.4968 0.0853 [4 per cell]  1 Cd 2.59

=====

Record 8
DFT (PBE) results for crystalline BaCeTlCd at its relaxed geometry.

Calculated values
Energy of formation   -0.66 eV/f.u.
Magnetization   5.1 μB per cell
V   543.1 Å³/cell

Cell lengths 8.1590, 8.1590, 8.1590 Å; angles 90.00, 90.00, 90.00 degrees
Closest atoms and distances in Å follow each position.
Space group F-43m (No. 216)
Symmetry-distinct sites (fractional):
Ba1 0.0000 0.0000 0.0000 [4 per cell]  4 Cd 3.53, 4 Tl 3.53
Ce1 0.0000 0.0000 0.5000 [4 per cell]  4 Tl 3.53, 4 Cd 3.53
Tl1 0.2500 0.2500 0.2500 [4 per cell]  4 Ba 3.53, 4 Ce 3.53
Cd1 0.2500 0.2500 0.7500 [4 per cell]  4 Ba 3.53, 4 Ce 3.53

=====

Record 9
DFT (PBE) results for crystalline BaCeZnCd at its relaxed geometry.

Calculated values
Energy of formation   -0.22 eV/f.u.
Magnetization   4.6 μB per cell
V   500.3 Å³/cell

Cell lengths 7.9388, 7.9388, 7.9388 Å; angles 90.00, 90.00, 90.00 degrees
Closest atoms and distances in Å follow each position.
Space group F-43m (No. 216)
Symmetry-distinct sites (fractional):
Ba1 0.0000 0.0000 0.0000 [4 per cell]  4 Zn 3.44, 4 Cd 3.44
Ce1 0.0000 0.0000 0.5000 [4 per cell]  4 Cd 3.44, 4 Zn 3.44
Zn1 0.2500 0.2500 0.7500 [4 per cell]  4 Ba 3.44, 4 Ce 3.44
Cd1 0.2500 0.2500 0.2500 [4 per cell]  4 Ba 3.44, 4 Ce 3.44

=====

Record 10
DFT (PBE) results for crystalline BaCd4Cl at its relaxed geometry.

Calculated values
Magnetization   0.0 μB per cell
Formation energy from raw total energies   -382 meV per atom
V   709.4 Å³/cell

Cell lengths 8.9184, 8.9184, 8.9184 Å; angles 90.00, 90.00, 90.00 degrees
Closest atoms and distances in Å follow each position.
Space group F-43m (No. 216)
Symmetry-distinct sites (fractional):
Ba1 0.0000 0.0000 0.0000 [4 per cell]  12 Cd 3.70, 4 Cl 3.86
Cd1 0.1241 0.1241 0.6241 [16 per cell]  6 Cd 3.13-3.18
Cl1 0.2500 0.2500 0.2500 [4 per cell]  12 Cd 3.70, 4 Ba 3.86

=====

Record 11
DFT (PBE) results for crystalline BaCdCl at its relaxed geometry.

Calculated values
Magnetization   2.9 μB per cell
Formation energy from raw total energies   -850 meV per atom
Offset from the most stable computed form   0.204 eV/atom
V   484.0 Å³/cell

Cell lengths 7.8514, 7.8514, 7.8514 Å; angles 90.00, 90.00, 90.00 degrees
Closest atoms and distances in Å follow each position.
Space group F-43m (No. 216)
Symmetry-distinct sites (fractional):
Ba1 0.0000 0.0000 0.0000 [4 per cell]  4 Cd 3.40, 4 Cl 3.40
Cd1 0.2500 0.2500 0.7500 [4 per cell]  4 Ba 3.40
Cl1 0.2500 0.2500 0.2500 [4 per cell]  4 Ba 3.40

=====

Record 12
DFT (PBE) results for crystalline BaCdCl2 at its relaxed geometry.

Calculated values
Magnetization   0.0 μB per cell
Formation energy from raw total energies   -1566 meV per atom
Offset from the most stable computed form   0.102 eV/atom
V   149.5 Å³/cell

Cell lengths 3.9315, 3.9315, 9.6738 Å; angles 90.00, 90.00, 90.00 degrees
Closest atoms and distances in Å follow each position.
Space group P4/mmm (No. 123)
Symmetry-distinct sites (fractional):
Ba1 0.0000 0.0000 0.0000 [1 per cell]  8 Cl 3.23
Cd1 0.0000 0.0000 0.5000 [1 per cell]  4 Cd 3.93, 8 Cl 4.24
Cl1 0.5000 0.5000 0.1697 [2 per cell]  4 Ba 3.23, 1 Cl 3.28

=====

> The highest V belongs to which entry?

Ba2CeCdSe5